Record 1
The following is a DFT calculation (GGA-PBEsol) of LiIn2Rh2 after structural relaxation.

```
data_LiIn2Rh2
_chemical_formula_sum 'Li2 In4 Rh4'
_cell_length_a 7.5539
_cell_length_b 7.5539
_cell_length_c 3.0482
_cell_angle_alpha 90.00
_cell_angle_beta 90.00
_cell_angle_gamma 90.00
_space_group_name_H-M_alt 'P 4/m b m'
_space_group_IT_number 127
_space_group_name_Hall '-P 4 2ab'
loop_
_atom_site_label
_atom_site_fract_x
_atom_site_fract_y
_atom_site_fract_z
Li1 0.0000 0.0000 0.0000
In1 0.1517 0.3483 0.0000
Rh1 0.1451 0.6451 0.5000
```

## Properties
* magnetic moment: 0.0 μB per formula unit
* DOS at the Fermi energy: 0.43 states/eV/atom
* formation energy from the elements: -0.3307 eV per atom

Record 2
The following is a DFT calculation (GGA-PBEsol) of Cs3B12H12I after structural relaxation.

```
data_Cs3B12H12I
_chemical_formula_sum 'Cs9 B36 H36 I3'
_cell_length_a 10.5022
_cell_length_b 10.5022
_cell_length_c 11.7187
_cell_angle_alpha 90.00
_cell_angle_beta 90.00
_cell_angle_gamma 120.00
_space_group_name_H-M_alt 'R -3 m'
_space_group_IT_number 166
_space_group_name_Hall '-R 3 2"'
loop_
_atom_site_label
_atom_site_fract_x
_atom_site_fract_y
_atom_site_fract_z
Cs1 0.0000 0.5000 0.0000
B1 0.0563 0.1126 0.8855
B2 0.0912 0.1823 0.0271
H1 0.0200 0.5100 0.7139
H2 0.0971 0.1942 0.8039
I1 0.0000 0.0000 0.5000
```

## Properties
* uncorrected energy: -5.04 eV/atom
* magnetic moment: 0.0 μB per formula unit
* DOS at the Fermi energy: 0.00 states/eV/atom

Q: Look up the DOS at the Fermi energy of the second one.
A: 0.00 states/eV/atom